[1]
BaCoSb2I | GGA-PBEsol | optimized geometry

Cell and atoms, written as POSCAR:
```
BaCoSb2I
1.0
6.248 0.000 0.000
0.000 6.248 0.000
0.000 0.000 6.299
Ba Co Sb I
1 1 2 1
direct
0.000 0.000 0.000
0.500 0.500 0.500
0.000 0.500 0.000
0.500 0.000 0.000
0.000 0.000 0.500
```

Calculated values
- density of states at the Fermi level (states/eV/atom) = 1.993
- crystal system = tetragonal
- final energy (eV for the cell shown) = -13.89
- uncorrected formation energy (kJ/mol of atoms) = 133



[2]
TmCl3 | GGA-PBEsol | optimized geometry

Cell and atoms, written as POSCAR:
```
TmCl3
1.0
3.217 1.858 5.915
-3.217 1.858 5.915
0.000 -3.715 5.915
Tm Cl
2 6
direct
0.000 0.000 0.000
0.500 0.500 0.500
0.091 0.750 0.409
0.250 0.591 0.909
0.409 0.091 0.750
0.591 0.909 0.250
0.750 0.409 0.091
0.909 0.250 0.591
```

Calculated values
- density of states at the Fermi level (states/eV/atom) = 0.000
- crystal system = trigonal
- final energy (eV for the cell shown) = -39.74
- uncorrected formation energy (kJ/mol of atoms) = -216



[3]
KBeP | GGA-PBEsol | optimized geometry

Cell and atoms, written as POSCAR:
```
KBeP
1.0
6.002 0.000 0.000
0.000 3.701 0.000
0.000 0.000 11.955
K Be P
4 4 4
direct
0.094 0.250 0.160
0.406 0.750 0.660
0.594 0.250 0.340
0.906 0.750 0.840
0.066 0.250 0.465
0.434 0.750 0.965
0.566 0.250 0.035
0.934 0.750 0.535
0.148 0.750 0.391
0.352 0.250 0.891
0.648 0.750 0.109
0.852 0.250 0.609
```

Calculated values
- density of states at the Fermi level (states/eV/atom) = 0.000
- crystal system = orthorhombic
- final energy (eV for the cell shown) = -48.95
- calculated formation energy (kJ/mol of atoms) = -42



[4]
SrCoCl2 | GGA-PBEsol | optimized geometry

Cell and atoms, written as POSCAR:
```
SrCoCl2
1.0
-1.834 2.688 3.924
1.834 -2.688 3.924
1.834 2.688 -3.924
Sr Co Cl
1 1 2
direct
0.000 0.000 0.000
0.500 0.500 0.000
0.313 0.813 0.500
0.687 0.187 0.500
```

Calculated values
- density of states at the Fermi level (states/eV/atom) = 0.272
- crystal system = orthorhombic
- energy relative to the lowest polymorph listed for this composition (eV per formula unit) = 0.00
- final energy (eV for the cell shown) = -17.26
- uncorrected formation energy (kJ/mol of atoms) = -88



Please write out number 1 again, unchanged.
BaCoSb2I | GGA-PBEsol | optimized geometry

Cell and atoms, written as POSCAR:
```
BaCoSb2I
1.0
6.248 0.000 0.000
0.000 6.248 0.000
0.000 0.000 6.299
Ba Co Sb I
1 1 2 1
direct
0.000 0.000 0.000
0.500 0.500 0.500
0.000 0.500 0.000
0.500 0.000 0.000
0.000 0.000 0.500
```

Calculated values
- density of states at the Fermi level (states/eV/atom) = 1.993
- crystal system = tetragonal
- final energy (eV for the cell shown) = -13.89
- uncorrected formation energy (kJ/mol of atoms) = 133



- density of states at the Fermi level of number 2 (TmCl3)?
  0.000 states/eV/atom